Below is KLi2Tc after structural relaxation, with properties calculated at the PBE level.

The structure in POSCAR format:
```
KLi2Tc
1.0
-1.9505 -1.8094 0.1650
2.9738 -3.1998 0.0642
0.2847 0.4258 8.0351
K Li Tc
1 2 1
direct
0.5000 0.5000 0.7122
0.0000 0.0000 0.0939
0.5000 0.5000 0.2824
0.0000 0.0000 0.4116
```

Computed properties:
V = 23.4 Å³ per atom
offset from the most stable computed form = 88 meV/atom
calculated formation energy = 0.740 eV/atom
symmetry = Pmm2 (25)